Here is a PBEsol-optimized structure of BaZnMo2W from Alexandria. Energies are from meta-GGA SCAN.

Summary:
Calculated volume in Å³/f.u.: 119.2
Calculated total energy in eV per atom: -35.01

a = 4.890 Å, b = 4.890 Å, c = 4.986 Å
α = 90.00°, β = 90.00°, γ = 90.00°
Sites, in units of the cell vectors:
Zn: 0.000 0.000 0.500
Mo: 0.000 0.500 0.000
Mo: 0.500 0.000 0.000
Ba: 0.000 0.000 0.000
W: 0.500 0.500 0.500

Here is a PBEsol-optimized structure of Ba2YMo from Alexandria. Energies are from meta-GGA SCAN.

Summary:
Calculated volume in Å³/f.u.: 124.3
Calculated total energy in eV per atom: -34.38
E above lowest polymorph in eV/atom: 0.141

a = 3.393 Å, b = 3.393 Å, c = 11.556 Å
α = 90.00°, β = 90.00°, γ = 110.88°
Sites, in units of the cell vectors:
Ba: 0.000 0.000 0.294
Ba: 0.000 0.000 0.706
Mo: 0.500 0.500 0.500
Y: 0.500 0.500 0.000

Here is a PBEsol-optimized structure of Ba2YMo from Alexandria. Energies are from meta-GGA SCAN.

Summary:
Calculated volume in Å³/f.u.: 132.8
Calculated total energy in eV per atom: -34.52
E above lowest polymorph in eV/atom: 0.000

a = 3.671 Å, b = 3.670 Å, c = 9.857 Å
α = 90.00°, β = 90.00°, γ = 90.00°
Sites, in units of the cell vectors:
Ba: 0.000 0.000 0.792
Ba: 0.000 0.000 0.208
Mo: 0.500 0.500 0.000
Y: 0.500 0.500 0.500

Here is a PBEsol-optimized structure of BaZnMo2 from Alexandria. Energies are from meta-GGA SCAN.

Summary:
Calculated volume in Å³/f.u.: 79.0
Calculated total energy in eV per atom: -29.30

a = 4.076 Å, b = 4.076 Å, c = 4.756 Å
α = 90.00°, β = 90.00°, γ = 90.00°
Sites, in units of the cell vectors:
Ba: 0.000 0.000 0.500
Mo: 0.000 0.500 0.000
Mo: 0.500 0.000 0.000
Zn: 0.500 0.500 0.500